PBE Ga3MoRu4, optimized geometry; crystal system = tetragonal; ΔH_f (0 K) = -2.3 eV/f.u.; Fermi-level density of states = 2.680 states/eV/f.u.
1.0
-2.1609 2.1609 6.0740
2.1609 -2.1609 6.0740
2.1609 2.1609 -6.0740
Ga Mo Ru
3 1 4
direct
0.0000 0.0000 0.0000
0.2495 0.2495 0.0000
0.7505 0.7505 0.0000
0.5000 0.5000 0.0000
0.1264 0.6264 0.5000
0.3736 0.8736 0.5000
0.6264 0.1264 0.5000
0.8736 0.3736 0.5000

---

PBE GaMo2Ru3, optimized geometry; crystal system = tetragonal; ΔH_f (0 K) = -0.6 eV/f.u.; Fermi-level density of states = 5.388 states/eV/f.u.
1.0
2.8818 0.0000 0.0000
0.0000 2.8818 0.0000
0.0000 0.0000 10.5387
Ga Mo Ru
1 2 3
direct
0.0000 0.0000 0.0000
0.0000 0.0000 0.3234
0.0000 0.0000 0.6766
0.5000 0.5000 0.1565
0.5000 0.5000 0.5000
0.5000 0.5000 0.8435

---

PBE Ga3MoRu, optimized geometry; crystal system = cubic; offset from the most stable computed form = 0.00 kJ/mol of atoms; ΔH_f (0 K) = 3.4 eV/f.u.; Fermi-level density of states = 2.569 states/eV/f.u.
1.0
4.7925 0.0000 0.0000
0.0000 4.7925 0.0000
0.0000 0.0000 4.7925
Ga Mo Ru
3 1 1
direct
0.0000 0.0000 0.5000
0.0000 0.5000 0.0000
0.5000 0.0000 0.0000
0.5000 0.5000 0.5000
0.0000 0.0000 0.0000

---

PBE Ga2Mo2Ru, optimized geometry; crystal system = tetragonal; ΔH_f (0 K) = 0.5 eV/f.u.; Fermi-level density of states = 4.362 states/eV/f.u.
1.0
6.5838 0.0000 0.0000
0.0000 6.5838 0.0000
0.0000 0.0000 3.5141
Ga Mo Ru
4 4 2
direct
0.1343 0.3657 0.0000
0.3657 0.8657 0.0000
0.6343 0.1343 0.0000
0.8657 0.6343 0.0000
0.1677 0.6677 0.5000
0.3323 0.1677 0.5000
0.6677 0.8323 0.5000
0.8323 0.3323 0.5000
0.0000 0.0000 0.0000
0.5000 0.5000 0.0000

---

PBE Ga5MoRu6, optimized geometry; crystal system = orthorhombic; ΔH_f (0 K) = -3.7 eV/f.u.; Fermi-level density of states = 7.562 states/eV/f.u.
1.0
-2.1561 3.0454 6.4368
2.1561 -3.0454 6.4368
2.1561 3.0454 -6.4368
Ga Mo Ru
5 1 6
direct
0.0000 0.0000 0.0000
0.1692 0.6692 0.5000
0.3385 0.3385 0.0000
0.6615 0.6615 0.0000
0.8308 0.3308 0.5000
0.5000 0.0000 0.5000
0.0788 0.8326 0.2463
0.2439 0.5000 0.7439
0.4137 0.1674 0.2463
0.5863 0.8326 0.7537
0.7561 0.5000 0.2561
0.9212 0.1674 0.7537

---

PBE GaMoRu, optimized geometry; crystal system = orthorhombic; ΔH_f (0 K) = -0.3 eV/f.u.; Fermi-level density of states = 1.976 states/eV/f.u.
1.0
8.7884 0.0000 0.0000
0.0000 2.8406 0.0000
0.0000 0.0000 7.2570
Ga Mo Ru
4 4 4
direct
0.1296 0.2500 0.2452
0.3704 0.7500 0.7452
0.6296 0.2500 0.2548
0.8704 0.7500 0.7548
0.1162 0.2500 0.6128
0.3838 0.7500 0.1128
0.6162 0.2500 0.8872
0.8838 0.7500 0.3872
0.1322 0.7500 0.9445
0.3678 0.2500 0.4445
0.6322 0.7500 0.5555
0.8678 0.2500 0.0555

---

PBE GaMoRu2, optimized geometry; crystal system = trigonal; ΔH_f (0 K) = -0.2 eV/f.u.; Fermi-level density of states = 3.762 states/eV/f.u.
1.0
1.4110 0.8147 8.5208
-1.4110 0.8147 8.5208
0.0000 -1.6293 8.5208
Ga Mo Ru
1 1 2
direct
0.0000 0.0000 0.0000
0.5000 0.5000 0.5000
0.2511 0.2511 0.2511
0.7489 0.7489 0.7489

---

PBE GaMoRu2, optimized geometry; crystal system = tetragonal; ΔH_f (0 K) = -0.8 eV/f.u.; Fermi-level density of states = 2.464 states/eV/f.u.
1.0
3.0148 0.0000 0.0000
0.0000 3.0148 0.0000
0.0000 0.0000 6.3296
Ga Mo Ru
1 1 2
direct
0.0000 0.0000 0.0000
0.0000 0.0000 0.5000
0.5000 0.5000 0.2397
0.5000 0.5000 0.7603

---

PBE GaMoRu, optimized geometry; crystal system = hexagonal; ΔH_f (0 K) = -0.3 eV/f.u.; Fermi-level density of states = 0.921 states/eV/f.u.
1.0
4.2756 0.0000 0.0000
-2.1378 3.7028 0.0000
0.0000 0.0000 2.8146
Ga Mo Ru
1 1 1
direct
0.0000 0.0000 0.0000
0.6667 0.3333 0.5000
0.3333 0.6667 0.0000

---

PBE Ga2MoRuS, optimized geometry; crystal system = tetragonal; formation energy from raw total energies = 599 meV per atom; Fermi-level density of states = 2.616 states/eV/f.u.
1.0
4.7922 0.0000 0.0000
0.0000 4.7922 0.0000
0.0000 0.0000 4.8514
Ga Mo Ru S
2 1 1 1
direct
0.0000 0.5000 0.0000
0.5000 0.0000 0.0000
0.0000 0.0000 0.5000
0.0000 0.0000 0.0000
0.5000 0.5000 0.5000

---

PBE Sc2GaMo2Ru5, optimized geometry; crystal system = tetragonal; ΔH_f (0 K) = -0.7 eV/f.u.; Fermi-level density of states = 5.686 states/eV/f.u.
1.0
10.2956 0.0000 0.0000
0.0000 10.2956 0.0000
0.0000 0.0000 3.1413
Sc Ga Mo Ru
4 2 4 10
direct
0.1676 0.3324 0.0000
0.3324 0.8324 0.0000
0.6676 0.1676 0.0000
0.8324 0.6676 0.0000
0.0000 0.0000 0.0000
0.5000 0.5000 0.0000
0.1409 0.6409 0.0000
0.3591 0.1409 0.0000
0.6409 0.8591 0.0000
0.8591 0.3591 0.0000
0.0000 0.5000 0.5000
0.0576 0.8084 0.5000
0.1916 0.0576 0.5000
0.3084 0.5576 0.5000
0.4424 0.3084 0.5000
0.5000 0.0000 0.5000
0.5576 0.6916 0.5000
0.6916 0.4424 0.5000
0.8084 0.9424 0.5000
0.9424 0.1916 0.5000

---

PBE Sc2GaMoRu, optimized geometry; crystal system = tetragonal; ΔH_f (0 K) = 2.4 eV/f.u.; Fermi-level density of states = 2.707 states/eV/f.u.
1.0
4.8582 0.0000 0.0000
0.0000 4.8582 0.0000
0.0000 0.0000 4.7856
Sc Ga Mo Ru
2 1 1 1
direct
0.0000 0.5000 0.0000
0.5000 0.0000 0.0000
0.0000 0.0000 0.5000
0.5000 0.5000 0.5000
0.0000 0.0000 0.0000

---

Please write out number 4 again, unchanged.
PBE Ga2Mo2Ru, optimized geometry; crystal system = tetragonal; ΔH_f (0 K) = 0.5 eV/f.u.; Fermi-level density of states = 4.362 states/eV/f.u.
1.0
6.5838 0.0000 0.0000
0.0000 6.5838 0.0000
0.0000 0.0000 3.5141
Ga Mo Ru
4 4 2
direct
0.1343 0.3657 0.0000
0.3657 0.8657 0.0000
0.6343 0.1343 0.0000
0.8657 0.6343 0.0000
0.1677 0.6677 0.5000
0.3323 0.1677 0.5000
0.6677 0.8323 0.5000
0.8323 0.3323 0.5000
0.0000 0.0000 0.0000
0.5000 0.5000 0.0000

---

Copy entry 6 word for word.
PBE GaMoRu, optimized geometry; crystal system = orthorhombic; ΔH_f (0 K) = -0.3 eV/f.u.; Fermi-level density of states = 1.976 states/eV/f.u.
1.0
8.7884 0.0000 0.0000
0.0000 2.8406 0.0000
0.0000 0.0000 7.2570
Ga Mo Ru
4 4 4
direct
0.1296 0.2500 0.2452
0.3704 0.7500 0.7452
0.6296 0.2500 0.2548
0.8704 0.7500 0.7548
0.1162 0.2500 0.6128
0.3838 0.7500 0.1128
0.6162 0.2500 0.8872
0.8838 0.7500 0.3872
0.1322 0.7500 0.9445
0.3678 0.2500 0.4445
0.6322 0.7500 0.5555
0.8678 0.2500 0.0555

---

Copy entry 10 word for word.
PBE Ga2MoRuS, optimized geometry; crystal system = tetragonal; formation energy from raw total energies = 599 meV per atom; Fermi-level density of states = 2.616 states/eV/f.u.
1.0
4.7922 0.0000 0.0000
0.0000 4.7922 0.0000
0.0000 0.0000 4.8514
Ga Mo Ru S
2 1 1 1
direct
0.0000 0.5000 0.0000
0.5000 0.0000 0.0000
0.0000 0.0000 0.5000
0.0000 0.0000 0.0000
0.5000 0.5000 0.5000